The following is a PBE calculation of a relaxed Ho2ErPuS6 crystal, from the Alexandria database.

abc: 7.362 7.362 7.362
angles: 55.88 55.88 55.88
Fractional coordinates of all 10 atoms:
Ho: 0.000 0.000 0.000
Ho: 0.499 0.499 0.499
Er: 0.699 0.699 0.699
Pu: 0.200 0.200 0.200
S: 0.099 0.401 0.795
S: 0.298 0.892 0.608
S: 0.401 0.795 0.099
S: 0.608 0.298 0.892
S: 0.795 0.099 0.401
S: 0.892 0.608 0.298

Properties
formation energy from raw total energies: -1.919 eV/atom
uncorrected energy: -7.201 eV/atom
Fermi-level density of states: 11.9 states/eV per cell
SG: No. 146

***

The following is a PBE calculation of a relaxed Sm2Al4CuNi3 crystal, from the Alexandria database.

abc: 4.096 4.096 10.275
angles: 90.00 90.00 90.00
Fractional coordinates of all 10 atoms:
Sm: 0.000 0.500 0.247
Sm: 0.500 0.000 0.753
Al: 0.000 0.000 0.000
Al: 0.000 0.500 0.628
Al: 0.500 0.000 0.372
Al: 0.500 0.500 0.000
Cu: 0.000 0.000 0.500
Ni: 0.000 0.500 0.866
Ni: 0.500 0.000 0.134
Ni: 0.500 0.500 0.500

Properties
ΔE_f: -0.518 eV/atom
uncorrected energy: -5.103 eV/atom
Fermi-level density of states: 8.0 states/eV per cell
SG: No. 115

***

The following is a PBE calculation of a relaxed Cu2AuBr6 crystal, from the Alexandria database.

abc: 8.397 8.397 7.744
angles: 90.56 90.56 81.95
Fractional coordinates of all 18 atoms:
Cu: 0.126 0.237 0.195
Cu: 0.237 0.126 0.695
Cu: 0.763 0.874 0.305
Cu: 0.874 0.763 0.805
Au: 0.393 0.607 0.750
Au: 0.607 0.393 0.250
Br: 0.039 0.231 0.901
Br: 0.109 0.639 0.636
Br: 0.231 0.039 0.401
Br: 0.316 0.436 0.159
Br: 0.361 0.891 0.864
Br: 0.436 0.316 0.659
Br: 0.564 0.684 0.341
Br: 0.639 0.109 0.136
Br: 0.684 0.564 0.841
Br: 0.769 0.961 0.599
Br: 0.891 0.361 0.364
Br: 0.961 0.769 0.099

Properties
energy above the lowest structure with this stoichiometry: 0 meV per atom
formation energy from raw total energies: -0.210 eV/atom
uncorrected energy: -2.600 eV/atom
Fermi-level density of states: 14.5 states/eV per cell
SG: No. 15

***

The following is a PBE calculation of a relaxed PaAlP2 crystal, from the Alexandria database.

abc: 3.989 3.989 23.197
angles: 90.00 90.00 120.00
Fractional coordinates of all 12 atoms:
Pa: 0.000 0.000 0.000
Pa: 0.333 0.667 0.667
Pa: 0.667 0.333 0.333
Al: 0.000 0.000 0.500
Al: 0.333 0.667 0.167
Al: 0.667 0.333 0.833
P: 0.000 0.000 0.399
P: 0.000 0.000 0.601
P: 0.333 0.667 0.065
P: 0.333 0.667 0.268
P: 0.667 0.333 0.732
P: 0.667 0.333 0.935

Properties
ΔE_f: -0.246 eV/atom
uncorrected energy: -6.261 eV/atom
Fermi-level density of states: 6.5 states/eV per cell
SG: No. 166

***

The following is a PBE calculation of a relaxed Th2Ga2Os2C crystal, from the Alexandria database.

abc: 11.198 4.325 7.059
angles: 90.00 128.48 90.00
Fractional coordinates of all 14 atoms:
Th: 0.058 0.000 0.324
Th: 0.442 0.500 0.676
Th: 0.558 0.500 0.324
Th: 0.942 0.000 0.676
Ga: 0.154 0.500 0.108
Ga: 0.346 0.000 0.892
Ga: 0.654 0.000 0.108
Ga: 0.846 0.500 0.892
Os: 0.202 0.500 0.798
Os: 0.298 0.000 0.202
Os: 0.702 0.000 0.798
Os: 0.798 0.500 0.202
C: 0.000 0.500 0.500
C: 0.500 0.000 0.500

Properties
ΔE_f: -0.458 eV/atom
uncorrected energy: -7.969 eV/atom
Fermi-level density of states: 4.3 states/eV per cell
SG: No. 12

***

The following is a PBE calculation of a relaxed MgMnCr2 crystal, from the Alexandria database.

abc: 4.327 4.327 3.074
angles: 90.00 90.00 90.00
Fractional coordinates of all 4 atoms:
Mg: 0.000 0.000 0.000
Mn: 0.500 0.500 0.000
Cr: 0.000 0.500 0.500
Cr: 0.500 0.000 0.500

Properties
ΔE_f: 0.386 eV/atom
uncorrected energy: -7.117 eV/atom
Fermi-level density of states: 1.2 states/eV per cell
SG: No. 123

***

The following is a PBE calculation of a relaxed RbNbAs2O8 crystal, from the Alexandria database.

abc: 5.296 5.296 9.269
angles: 103.70 103.70 62.66
Fractional coordinates of all 12 atoms:
Rb: 0.000 0.000 0.000
Nb: 0.500 0.500 0.500
As: 0.209 0.209 0.698
As: 0.791 0.791 0.302
O: 0.161 0.669 0.343
O: 0.307 0.307 0.561
O: 0.316 0.316 0.875
O: 0.331 0.839 0.657
O: 0.669 0.161 0.343
O: 0.684 0.684 0.125
O: 0.693 0.693 0.439
O: 0.839 0.331 0.657

Properties
formation energy from raw total energies: -1.704 eV/atom
uncorrected energy: -6.704 eV/atom
Fermi-level density of states: 0.0 states/eV per cell
SG: No. 12

***

The following is a PBE calculation of a relaxed YTiAs2Se crystal, from the Alexandria database.

abc: 5.322 5.322 5.319
angles: 90.00 90.00 90.00
Fractional coordinates of all 5 atoms:
Y: 0.000 0.000 0.000
Ti: 0.500 0.500 0.500
As: 0.000 0.500 0.000
As: 0.500 0.000 0.000
Se: 0.000 0.000 0.500

Properties
energy above the lowest structure with this stoichiometry: 1034 meV per atom
formation energy from raw total energies: 0.436 eV/atom
uncorrected energy: -4.993 eV/atom
Fermi-level density of states: 6.9 states/eV per cell
SG: No. 123

***

The following is a PBE calculation of a relaxed HfCo2AgW crystal, from the Alexandria database.

abc: 4.383 4.383 4.985
angles: 90.00 90.00 90.00
Fractional coordinates of all 5 atoms:
Hf: 0.000 0.000 0.000
Co: 0.000 0.500 0.500
Co: 0.500 0.000 0.500
Ag: 0.500 0.500 0.000
W: 0.500 0.500 0.500

Properties
ΔE_f: 1.277 eV/atom
uncorrected energy: -6.717 eV/atom
Fermi-level density of states: 6.1 states/eV per cell
SG: No. 123

***

The following is a PBE calculation of a relaxed CaBeHg2Pb crystal, from the Alexandria database.

abc: 5.836 5.836 6.190
angles: 90.00 90.00 90.00
Fractional coordinates of all 5 atoms:
Ca: 0.000 0.000 0.000
Be: 0.500 0.500 0.500
Hg: 0.000 0.500 0.000
Hg: 0.500 0.000 0.000
Pb: 0.000 0.000 0.500

Properties
ΔE_f: 0.911 eV/atom
uncorrected energy: -1.097 eV/atom
Fermi-level density of states: 5.0 states/eV per cell
SG: No. 123

***

The following is a PBE calculation of a relaxed CrHW2 crystal, from the Alexandria database.

abc: 2.788 2.788 22.056
angles: 90.00 90.00 120.00
Fractional coordinates of all 12 atoms:
Cr: 0.000 0.000 0.000
Cr: 0.333 0.667 0.667
Cr: 0.667 0.333 0.333
H: 0.000 0.000 0.500
H: 0.333 0.667 0.167
H: 0.667 0.333 0.833
W: 0.000 0.000 0.107
W: 0.000 0.000 0.893
W: 0.333 0.667 0.560
W: 0.333 0.667 0.774
W: 0.667 0.333 0.226
W: 0.667 0.333 0.440

Properties
energy above the lowest structure with this stoichiometry: 145 meV per atom
uncorrected energy: -8.969 eV/atom
Fermi-level density of states: 10.5 states/eV per cell
SG: No. 166

***

The following is a PBE calculation of a relaxed MgTe2RhN crystal, from the Alexandria database.

abc: 5.562 5.562 3.664
angles: 90.00 90.00 90.00
Fractional coordinates of all 5 atoms:
Mg: 0.000 0.000 0.000
Te: 0.000 0.500 0.500
Te: 0.500 0.000 0.500
Rh: 0.500 0.500 0.500
N: 0.500 0.500 0.000

Properties
energy above the lowest structure with this stoichiometry: 0 meV per atom
formation energy from raw total energies: 0.141 eV/atom
uncorrected energy: -4.570 eV/atom
Fermi-level density of states: 4.5 states/eV per cell
SG: No. 123

***

The calculation returns the following size of the total moment values, one per record and in order: 5.0; 0.0; 2.0; 0.0; 0.0; 2.8; 0.0; 0.3; 0.6; 0.0; 0.0; 0.0 Bohr magnetons per cell.